Entry 1:
TlNiI2N | PBE | optimized geometry

## Properties
volume: 159.17 Å³/f.u.
calculated total energy: -2.570 eV per atom
M_tot: 0.466 μB per atom
formation energy without anion corrections: 1345 meV per atom
polymorph energy (0 for the lowest one): 1.050 eV per atom

a b c (Å): 6.1476 6.1476 4.2118
angles (deg): 90.00 90.00 90.00
With the nearest neighbours (Å) after each atom.
Space group P4/mmm (No. 123)
Inequivalent atoms, fractional coordinates:
Tl  0.0000  0.0000  0.0000 (multiplicity 1)  2 N 2.11
Ni  0.5000  0.5000  0.5000 (multiplicity 1)  8 I 3.73
I  0.0000  0.5000  0.0000 (multiplicity 2)  2 Tl 3.07
N  0.0000  0.0000  0.5000 (multiplicity 1)  2 Tl 2.11

=====

Entry 2:
TlNiIN2 | PBE | optimized geometry

## Properties
volume: 98.46 Å³/f.u.
calculated total energy: -3.906 eV per atom
M_tot: 0.837 μB per atom
formation energy without anion corrections: 1364 meV per atom
polymorph energy (0 for the lowest one): 0.000 eV per atom

a b c (Å): 4.2095 4.2095 5.5565
angles (deg): 90.00 90.00 90.00
With the nearest neighbours (Å) after each atom.
Space group P4/mmm (No. 123)
Inequivalent atoms, fractional coordinates:
Tl  0.0000  0.0000  0.0000 (multiplicity 1)  4 I 2.98
Ni  0.5000  0.5000  0.5000 (multiplicity 1)  4 N 2.10
I  0.5000  0.5000  0.0000 (multiplicity 1)  2 Ni 2.78, 4 Tl 2.98
N  0.0000  0.5000  0.5000 (multiplicity 2)  2 Ni 2.10

=====

Entry 3:
TlNiIN2 | PBE | optimized geometry

## Properties
volume: 124.44 Å³/f.u.
calculated total energy: -3.282 eV per atom
M_tot: 0.697 μB per atom
formation energy without anion corrections: 1988 meV per atom
polymorph energy (0 for the lowest one): 0.624 eV per atom

a b c (Å): 4.1767 4.1767 7.1334
angles (deg): 90.00 90.00 90.00
With the nearest neighbours (Å) after each atom.
Space group P4/mmm (No. 123)
Inequivalent atoms, fractional coordinates:
Tl  0.0000  0.0000  0.0000 (multiplicity 1)  4 N 2.09
Ni  0.5000  0.5000  0.5000 (multiplicity 1)  4 I 2.95
I  0.0000  0.0000  0.5000 (multiplicity 1)  4 Ni 2.95
N  0.0000  0.5000  0.0000 (multiplicity 2)  2 Tl 2.09

=====

Entry 4:
TlNiI2N | PBE | optimized geometry

## Properties
volume: 131.55 Å³/f.u.
calculated total energy: -3.620 eV per atom
M_tot: 0.000 μB per atom
formation energy without anion corrections: 295 meV per atom
polymorph energy (0 for the lowest one): 0.000 eV per atom

a b c (Å): 6.1634 6.1634 3.4631
angles (deg): 90.00 90.00 90.00
With the nearest neighbours (Å) after each atom.
Space group P4/mmm (No. 123)
Inequivalent atoms, fractional coordinates:
Tl  0.0000  0.0000  0.0000 (multiplicity 1)  2 Tl 3.46, 8 I 3.53
Ni  0.5000  0.5000  0.5000 (multiplicity 1)  2 N 1.73
I  0.0000  0.5000  0.5000 (multiplicity 2)  2 Ni 3.08
N  0.5000  0.5000  0.0000 (multiplicity 1)  2 Ni 1.73

=====

Entry 5:
VNiIN2 | PBE | optimized geometry

## Properties
volume: 76.01 Å³/f.u.
calculated total energy: -5.015 eV per atom
M_tot: 0.000 μB per atom
formation energy without anion corrections: 1605 meV per atom
polymorph energy (0 for the lowest one): 0.992 eV per atom

a b c (Å): 3.7150 3.7150 5.5078
angles (deg): 90.00 90.00 90.00
With the nearest neighbours (Å) after each atom.
Space group P4/mmm (No. 123)
Inequivalent atoms, fractional coordinates:
V  0.0000  0.0000  0.0000 (multiplicity 1)  4 I 2.63
Ni  0.5000  0.5000  0.5000 (multiplicity 1)  4 N 1.86
I  0.5000  0.5000  0.0000 (multiplicity 1)  4 V 2.63, 2 Ni 2.75
N  0.0000  0.5000  0.5000 (multiplicity 2)  2 Ni 1.86

=====

Entry 6:
VNiIN2 | PBE | optimized geometry

## Properties
volume: 81.43 Å³/f.u.
calculated total energy: -6.007 eV per atom
M_tot: 0.135 μB per atom
formation energy without anion corrections: 613 meV per atom
polymorph energy (0 for the lowest one): 0.000 eV per atom

a b c (Å): 3.7247 3.7247 5.8696
angles (deg): 90.00 90.00 90.00
With the nearest neighbours (Å) after each atom.
Space group P4/mmm (No. 123)
Inequivalent atoms, fractional coordinates:
V  0.0000  0.0000  0.0000 (multiplicity 1)  4 N 1.86
Ni  0.5000  0.5000  0.5000 (multiplicity 1)  4 I 2.63
I  0.0000  0.0000  0.5000 (multiplicity 1)  4 Ni 2.63, 2 V 2.93
N  0.0000  0.5000  0.0000 (multiplicity 2)  2 V 1.86

=====

Entry 7:
Ni2WIN | PBE | optimized geometry

## Properties
volume: 89.53 Å³/f.u.
calculated total energy: -5.962 eV per atom
M_tot: 0.000 μB per atom
formation energy without anion corrections: 916 meV per atom

a b c (Å): 4.8414 4.8414 3.8196
angles (deg): 90.00 90.00 90.00
With the nearest neighbours (Å) after each atom.
Space group P4/mmm (No. 123)
Inequivalent atoms, fractional coordinates:
Ni  0.0000  0.5000  0.0000 (multiplicity 2)  2 W 2.42
W  0.0000  0.0000  0.0000 (multiplicity 1)  2 N 1.91
I  0.5000  0.5000  0.5000 (multiplicity 1)  8 Ni 3.08, 4 N 3.42
N  0.0000  0.0000  0.5000 (multiplicity 1)  2 W 1.91

=====

Entry 8:
ZrNiI2N | PBE | optimized geometry

## Properties
volume: 138.76 Å³/f.u.
calculated total energy: -4.803 eV per atom
M_tot: 0.167 μB per atom
formation energy without anion corrections: 348 meV per atom
polymorph energy (0 for the lowest one): 0.000 eV per atom

a b c (Å): 5.9004 5.9004 3.9858
angles (deg): 90.00 90.00 90.00
With the nearest neighbours (Å) after each atom.
Space group P4/mmm (No. 123)
Inequivalent atoms, fractional coordinates:
Zr  0.0000  0.0000  0.0000 (multiplicity 1)  2 N 1.99
Ni  0.5000  0.5000  0.5000 (multiplicity 1)  8 I 3.56, 2 Ni 3.99
I  0.0000  0.5000  0.0000 (multiplicity 2)  2 Zr 2.95
N  0.0000  0.0000  0.5000 (multiplicity 1)  2 Zr 1.99

=====

Entry 9:
ZrNiI2N | PBE | optimized geometry

## Properties
volume: 108.21 Å³/f.u.
calculated total energy: -4.643 eV per atom
M_tot: 0.378 μB per atom
formation energy without anion corrections: 508 meV per atom
polymorph energy (0 for the lowest one): 0.160 eV per atom

a b c (Å): 5.5676 5.5676 3.4908
angles (deg): 90.00 90.00 90.00
With the nearest neighbours (Å) after each atom.
Space group P4/mmm (No. 123)
Inequivalent atoms, fractional coordinates:
Zr  0.0000  0.0000  0.0000 (multiplicity 1)  8 I 3.29, 2 Zr 3.49
Ni  0.5000  0.5000  0.5000 (multiplicity 1)  2 N 1.75
I  0.0000  0.5000  0.5000 (multiplicity 2)  2 Ni 2.78
N  0.5000  0.5000  0.0000 (multiplicity 1)  2 Ni 1.75

=====

Entry 10:
NpIN | PBE | optimized geometry

## Properties
volume: 80.24 Å³/f.u.
calculated total energy: -8.042 eV per atom
M_tot: 1.119 μB per atom
formation energy without anion corrections: -437 meV per atom

a b c (Å): 3.3109 3.3109 14.6390
angles (deg): 90.00 90.00 90.00
With the nearest neighbours (Å) after each atom.
Space group I4mm (No. 107)
Inequivalent atoms, fractional coordinates:
Np  0.0000  0.0000  0.0000 (multiplicity 2)  4 N 2.36
I  0.0000  0.0000  0.2053 (multiplicity 2)  1 Np 3.01, 4 I 3.31
N  0.0000  0.0000  0.4779 (multiplicity 2)  4 Np 2.36

=====

Entry 11:
NpIN | PBE | optimized geometry

## Properties
volume: 65.75 Å³/f.u.
calculated total energy: -8.414 eV per atom
M_tot: 1.000 μB per atom
formation energy without anion corrections: -808 meV per atom

a b c (Å): 3.8106 3.8106 5.2284
angles (deg): 90.00 90.00 120.00
With the nearest neighbours (Å) after each atom.
Space group P-6m2 (No. 187)
Inequivalent atoms, fractional coordinates:
Np  0.0000  0.0000  0.0000 (multiplicity 1)  3 N 2.20
I  0.6667  0.3333  0.5000 (multiplicity 1)  6 Np 3.42, 6 N 3.42, 6 I 3.81
N  0.3333  0.6667  0.0000 (multiplicity 1)  3 Np 2.20

=====

Entry 12:
OsIN2O | PBE | optimized geometry

## Properties
volume: 80.42 Å³/f.u.
calculated total energy: -6.011 eV per atom
M_tot: 0.041 μB per atom
formation energy without anion corrections: 867 meV per atom

a b c (Å): 3.7198 3.7198 5.8117
angles (deg): 90.00 90.00 90.00
With the nearest neighbours (Å) after each atom.
Space group P4/mmm (No. 123)
Inequivalent atoms, fractional coordinates:
Os  0.0000  0.0000  0.0000 (multiplicity 1)  4 N 1.86
I  0.0000  0.0000  0.5000 (multiplicity 1)  4 O 2.63, 2 Os 2.91
N  0.0000  0.5000  0.0000 (multiplicity 2)  2 Os 1.86
O  0.5000  0.5000  0.5000 (multiplicity 1)  4 I 2.63